Entry 1:
Material: LiY3
Method: DFT, GGA-PBEsol
State: optimized geometry

Summary:
DFT formation energy   0.096 eV per atom
Total magnetic moment   0.0 μB/f.u.
DFT total energy   -5.51 eV per atom

abc: 3.4579 3.4579 33.3648
angles: 90.00 90.00 120.00
Space group R-3m (No. 166, hexagonal axes)
Symmetry-distinct sites (fractional):
Li 0.0000 0.0000 0.0000 [3 per cell]
Y 0.0000 0.0000 0.2518 [6 per cell]
Y 0.0000 0.0000 0.5000 [3 per cell]



Entry 2:
Material: LiY
Method: DFT, GGA-PBEsol
State: optimized geometry

Summary:
DFT formation energy   0.296 eV per atom
Total magnetic moment   0.7 μB/f.u.
DFT total energy   -4.10 eV per atom

abc: 3.7927 3.7927 16.0416
angles: 90.00 90.00 120.00
Space group P6_3/mmc (No. 194)
Symmetry-distinct sites (fractional):
Li 0.0000 0.0000 0.2500 [2 per cell]
Li 0.3333 0.6667 0.2500 [2 per cell]
Y 0.3333 0.6667 0.5867 [4 per cell]



Entry 3:
Material: LiY
Method: DFT, GGA-PBEsol
State: optimized geometry

Summary:
DFT formation energy   0.219 eV per atom
Total magnetic moment   0.0 μB/f.u.
DFT total energy   -4.18 eV per atom

abc: 6.223 5.174 6.188
angles: 90.00 90.00 90.00
Space group Pnma (No. 62)
Symmetry-distinct sites (fractional):
Li 0.085 0.250 0.127 [4 per cell]
Y 0.149 0.250 0.627 [4 per cell]



Entry 4:
Material: LiY3
Method: DFT, GGA-PBEsol
State: optimized geometry

Summary:
DFT formation energy   0.102 eV per atom
Total magnetic moment   0.0 μB/f.u.
DFT total energy   -5.51 eV per atom

abc: 3.5001 3.5001 11.0054
angles: 90.00 90.00 120.00
Space group P-6m2 (No. 187)
Symmetry-distinct sites (fractional):
Li 0.0000 0.0000 0.0000 [1 per cell]
Y 0.0000 0.0000 0.5000 [1 per cell]
Y 0.3333 0.6667 0.2450 [2 per cell]



Entry 5:
Material: Li3Y
Method: DFT, GGA-PBEsol
State: optimized geometry

Summary:
DFT formation energy   0.106 eV per atom
Total magnetic moment   0.0 μB/f.u.
DFT total energy   -3.07 eV per atom

abc: 3.630 5.216 10.042
angles: 90.00 90.00 90.00
Space group Cmmm (No. 65)
Symmetry-distinct sites (fractional):
Li 0.000 0.000 0.000 [2 per cell]
Li 0.000 0.500 0.234 [4 per cell]
Y 0.000 0.000 0.500 [2 per cell]



Entry 6:
Material: LiY5
Method: DFT, GGA-PBEsol
State: optimized geometry

Summary:
DFT formation energy   0.057 eV per atom
Total magnetic moment   0.0 μB/f.u.
DFT total energy   -5.96 eV per atom

abc: 12.103 3.654 8.385
angles: 90.00 111.68 90.00
Space group C2/m (No. 12)
Symmetry-distinct sites (fractional):
Li 0.000 0.000 0.000 [2 per cell]
Y 0.000 0.000 0.500 [2 per cell]
Y 0.144 0.500 0.858 [4 per cell]
Y 0.174 0.500 0.307 [4 per cell]



Ordered distance to the lowest polymorph of the same formula results: 0.56; 5.29; 3.50; 0.70; 0.00; 0.00; unit kcal/mol of atoms.